A relaxed MoBr2Cl crystal. Source: Alexandria, functional GGA-PBEsol.

```
MoBr2Cl
1.0
6.0952 -1.6118 0.0000
6.0952 1.6118 0.0000
-3.3980 0.0000 5.5113
Mo Br Cl
1 2 1
Cartesian
0.0000 0.0000 0.0000
1.6974 0.0000 3.7725
4.9820 0.0000 1.6638
7.9111 0.0000 0.0428
```

- DFT total energy: -4.72 eV/atom
- E_form (uncorrected): -1.3 eV per formula unit

=====

A relaxed MoBrCl crystal. Source: Alexandria, functional GGA-PBEsol.

```
MoBrCl
1.0
3.1976 0.0000 0.0000
-1.5988 2.7692 0.0000
0.0000 0.0000 6.9122
Mo Br Cl
1 1 1
Cartesian
0.0000 0.0000 0.0000
0.0000 1.8461 5.0841
1.5988 0.9231 1.6183
```

- DFT total energy: -5.54 eV/atom
- E_form (uncorrected): -1.0 eV per formula unit